Record 1
Li4Cd5Pb2: optimized geometry, PBE.

Results
* E_form: -0.159 eV per atom

Structure (POSCAR):
```
Li4Cd5Pb2
1.0
4.456 0.000 -1.273
0.072 10.324 0.252
-0.848 0.758 5.467
Li Cd Pb
4 5 2
Direct
0.696 0.738 0.392 Li
0.970 0.829 0.940 Li
0.030 0.171 0.060 Li
0.304 0.262 0.608 Li
0.786 0.076 0.573 Cd
0.858 0.446 0.717 Cd
0.214 0.924 0.427 Cd
0.142 0.554 0.283 Cd
0.500 0.000 0.000 Cd
0.417 0.663 0.834 Pb
0.583 0.337 0.166 Pb
```

***

Record 2
Li2Cd6Pb: optimized geometry, PBE.

Results
* E_form: -0.107 eV per atom
* ΔE to the lowest computed polymorph: 0.44 kJ per mole of atoms

Structure (POSCAR):
```
Li2Cd6Pb
1.0
3.185 0.000 0.000
1.592 6.890 1.122
1.592 2.860 9.523
Pb Cd Li
1 6 2
Direct
0.000 0.000 0.000 Pb
0.673 0.211 0.443 Cd
0.680 0.519 0.122 Cd
0.320 0.481 0.878 Cd
0.006 0.325 0.664 Cd
0.994 0.675 0.336 Cd
0.327 0.789 0.557 Cd
0.665 0.892 0.778 Li
0.335 0.108 0.222 Li
```

***

Record 3
LiCdPb: optimized geometry, PBE.

Results
* E_form: -0.152 eV per atom
* ΔE to the lowest computed polymorph: 1.19 kJ per mole of atoms

Structure (POSCAR):
```
LiCdPb
1.0
-2.226 0.015 -4.168
2.163 -4.167 -1.170
-3.625 -3.175 4.597
Cd Pb Li
2 2 2
Direct
0.260 0.645 0.938 Cd
0.401 0.145 0.210 Cd
0.076 0.145 0.564 Pb
0.585 0.645 0.584 Pb
0.907 0.645 0.232 Li
0.754 0.145 0.916 Li
```